1.
First-principles (PBE-GGA) data for a relaxed structure of Hf4NbSn2, as listed in Alexandria via LeMat-Bulk.

Cell: 7.4691 5.9076 8.0560 Å, 90.00 120.08 90.00°
Closest atoms and distances in Å follow each position.
Atoms (fractional coordinates):
Hf1 0.9885 0.7500 0.5030  1 Nb 2.84, 2 Sn 2.86-2.97, 5 Hf 2.96-3.14
Hf2 0.4277 0.9988 0.7735  6 Hf 2.94-3.25, 4 Sn 3.03-3.27, 1 Nb 3.27
Hf3 0.1419 0.7500 0.9405  4 Sn 2.98-3.12, 1 Nb 3.02, 3 Hf 3.11-3.23
Hf4 0.5723 0.0012 0.2265  6 Hf 2.94-3.25, 4 Sn 3.03-3.27, 1 Nb 3.27
Hf5 0.8581 0.2500 0.0595  4 Sn 2.98-3.12, 1 Nb 3.02, 3 Hf 3.11-3.23
Hf6 0.4277 0.5012 0.7735  6 Hf 2.94-3.25, 4 Sn 3.03-3.27, 1 Nb 3.27
Hf7 0.5723 0.4988 0.2265  6 Hf 2.94-3.25, 4 Sn 3.03-3.27, 1 Nb 3.27
Hf8 0.0115 0.2500 0.4970  1 Nb 2.84, 2 Sn 2.86-2.97, 5 Hf 2.96-3.14
Nb1 0.7335 0.2500 0.6404  4 Sn 2.83-2.97, 2 Hf 2.84-3.02
Nb2 0.2665 0.7500 0.3596  4 Sn 2.83-2.97, 2 Hf 2.84-3.02
Sn1 0.6945 0.7500 0.6316  3 Nb 2.83-2.97, 4 Hf 2.86-3.12
Sn2 0.3055 0.2500 0.3684  3 Nb 2.83-2.97, 4 Hf 2.86-3.12
Sn3 0.8220 0.7500 0.0824  1 Nb 2.93, 8 Hf 2.97-3.12, 1 Sn 3.26
Sn4 0.1780 0.2500 0.9176  1 Nb 2.93, 8 Hf 2.97-3.12, 1 Sn 3.26

Values from the calculation:
* E_tot: -0.613 Ry/atom
* crystal system: monoclinic



2.
First-principles (PBE-GGA) data for a relaxed structure of HfNb2Sn, as listed in Alexandria via LeMat-Bulk.

Cell: 4.6321 4.1305 4.1305 Å, 90.00 90.00 90.00°
Closest atoms and distances in Å follow each position.
Atoms (fractional coordinates):
Nb1 0.0000 0.0000 0.5000  4 Nb 2.92, 4 Hf 3.10, 4 Sn 3.10
Nb2 0.0000 0.5000 0.0000  4 Nb 2.92, 4 Sn 3.10, 4 Hf 3.10
Hf1 0.5000 0.5000 0.5000  4 Sn 2.92, 8 Nb 3.10
Sn1 0.5000 0.0000 0.0000  4 Hf 2.92, 8 Nb 3.10

Values from the calculation:
* E_tot: -0.639 Ry/atom
* crystal system: tetragonal



3.
First-principles (PBE-GGA) data for a relaxed structure of Hf5NbSn3, as listed in Alexandria via LeMat-Bulk.

Cell: 7.1298 7.1298 9.4800 Å, 112.09 112.09 90.00°
Closest atoms and distances in Å follow each position.
Atoms (fractional coordinates):
Hf1 0.8230 0.9431 0.2661  1 Nb 2.68, 1 Sn 2.79
Hf2 0.5569 0.6770 0.7339  1 Nb 2.68, 1 Sn 2.79
Hf3 0.0000 0.0000 0.0000  4 Sn 2.79
Hf4 0.0569 0.5569 0.7339  1 Nb 2.68, 1 Sn 2.79
Hf5 0.1770 0.0569 0.7339  1 Nb 2.68, 1 Sn 2.79
Hf6 0.6770 0.1770 0.7339  1 Nb 2.68, 1 Sn 2.79
Hf7 0.3230 0.8230 0.2661  1 Nb 2.68, 1 Sn 2.79
Hf8 0.4431 0.3230 0.2661  1 Nb 2.68, 1 Sn 2.79
Hf9 0.5000 0.5000 0.0000  4 Sn 2.79
Hf10 0.9431 0.4431 0.2661  1 Nb 2.68, 1 Sn 2.79
Nb1 0.7500 0.2500 0.5000  4 Hf 2.68
Nb2 0.2500 0.7500 0.5000  4 Hf 2.68
Sn1 0.7500 0.7500 0.5000  8 Hf 3.20, 4 Nb 3.56
Sn2 0.2500 0.2500 0.5000  8 Hf 3.20, 4 Nb 3.56
Sn3 0.6318 0.1318 0.0000  1 Sn 2.66, 4 Hf 2.79
Sn4 0.3682 0.8682 0.0000  1 Sn 2.66, 4 Hf 2.79
Sn5 0.1318 0.3682 0.0000  1 Sn 2.66, 4 Hf 2.79
Sn6 0.8682 0.6318 0.0000  1 Sn 2.66, 4 Hf 2.79

Values from the calculation:
* E_tot: -0.575 Ry/atom
* crystal system: tetragonal